No. 1
First-principles (PBE-GGA) data for an optimized crystal structure of K3U3SbSe8, as listed in Alexandria.

**Raw formation energy**: -1.090 eV/atom

Lattice parameters (Å, degrees): 8.4537 8.4537 23.2772 90.00 90.00 120.00
Closest atoms and distances in Å follow each position.
Space group R-3m (No. 166, hexagonal axes)
Symmetry-distinct sites (fractional):
K 0.0000 0.5000 0.0000  6 Se 3.34-3.37
U 0.0000 0.5000 0.5000  6 Se 2.89-2.92
Sb 0.0000 0.0000 0.5000  6 Se 2.92
Se 0.0000 0.0000 0.2352  3 U 2.92
Se 0.0029 0.5014 0.7658  2 U 2.89, 1 Sb 2.92

***

No. 2
First-principles (PBE-GGA) data for an optimized crystal structure of KPd3Se3, as listed in Alexandria.

**Relative energy among the computed polymorphs**: 5 meV/atom
**Raw formation energy**: -0.398 eV/atom

Lattice parameters (Å, degrees): 7.0544 7.0544 7.0544 90.00 90.00 90.00
Closest atoms and distances in Å follow each position.
Space group Pm-3n (No. 223)
Symmetry-distinct sites (fractional):
K 0.0000 0.0000 0.0000  12 Se 3.94, 12 Pd 3.94
Pd 0.0000 0.2500 0.5000  4 Se 2.49
Se 0.0000 0.5000 0.2500  4 Pd 2.49

***

No. 3
First-principles (PBE-GGA) data for an optimized crystal structure of Th3ScIn4, as listed in Alexandria.

**Energy of formation from the pure elements**: -319 meV per atom

Lattice parameters (Å, degrees): 3.5061 3.5061 17.6544 90.00 90.00 90.00
Closest atoms and distances in Å follow each position.
Space group P4/mmm (No. 123)
Symmetry-distinct sites (fractional):
Th 0.0000 0.0000 0.0000  8 In 3.39, 4 Th 3.51
Th 0.0000 0.0000 0.2638  8 In 3.38-3.41, 4 Th 3.51
Sc 0.0000 0.0000 0.5000  8 In 3.11
In 0.5000 0.5000 0.1313  8 Th 3.39-3.41, 4 In 3.51
In 0.5000 0.5000 0.3936  4 Sc 3.11, 4 Th 3.38

***

No. 4
First-principles (PBE-GGA) data for an optimized crystal structure of B2MoPtSe, as listed in Alexandria.

**Raw formation energy**: 1.337 eV/atom

Lattice parameters (Å, degrees): 4.1226 4.1226 4.9521 90.00 90.00 90.00
Closest atoms and distances in Å follow each position.
Space group P4/mmm (No. 123)
Symmetry-distinct sites (fractional):
B 0.0000 0.5000 0.0000  2 Mo 2.06
Mo 0.0000 0.0000 0.0000  4 B 2.06
Pt 0.5000 0.5000 0.5000  4 Se 2.92, 8 B 3.22
Se 0.0000 0.0000 0.5000  2 Mo 2.48

***

| no. | total energy (eV/atom) |
| --- | --- |
| 1 | -5.70 |
| 2 | -4.27 |
| 3 | -5.26 |
| 4 | -5.41 |